Record 1
This record from the Alexandria database describes a relaxed UOsO6 crystal. The functional is PBE-GGA.

Calculated values
formation energy without anion corrections: -1.950 eV per atom

Cell: 5.644 5.644 5.638 Å, 59.96 59.96 60.00°
Positions (direct):
U1 0.000 0.000 0.000
Os1 0.500 0.500 0.500
O1 0.261 0.262 0.739
O2 0.739 0.261 0.739
O3 0.738 0.261 0.261
O4 0.261 0.739 0.261
O5 0.739 0.738 0.261
O6 0.262 0.739 0.739

---

Record 2
This record from the Alexandria database describes a relaxed Li3Ga4Cu4 crystal. The functional is PBE-GGA.

Calculated values
energy of formation from the pure elements: -0.13 eV/atom
ΔE to the lowest computed polymorph: 69.4 meV per atom

Cell: 3.919 7.032 7.492 Å, 117.99 105.16 90.00°
Positions (direct):
Li1 0.125 0.125 0.251
Li2 0.875 0.875 0.749
Li3 0.000 0.500 0.000
Ga1 0.229 0.729 0.458
Ga2 0.771 0.271 0.542
Ga3 0.500 0.812 0.000
Ga4 0.500 0.188 0.000
Cu1 0.320 0.133 0.640
Cu2 0.680 0.493 0.360
Cu3 0.680 0.867 0.360
Cu4 0.320 0.507 0.640

---

Record 3
This record from the Alexandria database describes a relaxed Y2InPRu crystal. The functional is PBE-GGA.

Calculated values
energy of formation from the pure elements: 0.18 eV/atom

Cell: 5.178 4.821 5.178 Å, 90.00 90.00 90.00°
Positions (direct):
Y1 0.000 0.000 0.500
Y2 0.500 0.000 0.000
Ru1 0.500 0.500 0.500
P1 0.000 0.000 0.000
In1 0.000 0.500 0.000

---

Record 4
This record from the Alexandria database describes a relaxed La2AlTe5Pd crystal. The functional is PBE-GGA.

Calculated values
formation energy without anion corrections: -1.023 eV per atom

Cell: 4.261 10.216 12.383 Å, 90.00 90.00 102.04°
Positions (direct):
La1 0.886 0.773 0.811
La2 0.127 0.254 0.693
La3 0.114 0.227 0.311
La4 0.873 0.746 0.193
Al1 0.594 0.188 0.971
Al2 0.406 0.812 0.471
Te1 0.358 0.716 0.001
Te2 0.715 0.430 0.845
Te3 0.518 0.037 0.793
Te4 0.296 0.592 0.658
Te5 0.961 0.923 0.573
Te6 0.642 0.284 0.501
Te7 0.285 0.570 0.345
Te8 0.482 0.963 0.293
Te9 0.704 0.408 0.158
Te10 0.039 0.077 0.073
Pd1 0.833 0.666 0.478
Pd2 0.167 0.334 0.978

---

Record 5
This record from the Alexandria database describes a relaxed Mg4GaPd5 crystal. The functional is PBE-GGA.

Calculated values
energy of formation from the pure elements: -0.72 eV/atom

Cell: 3.184 3.184 15.661 Å, 90.00 90.00 90.00°
Positions (direct):
Mg1 0.000 0.000 0.197
Mg2 0.000 0.000 0.399
Mg3 0.000 0.000 0.601
Mg4 0.000 0.000 0.803
Ga1 0.000 0.000 0.000
Pd1 0.500 0.500 0.092
Pd2 0.500 0.500 0.298
Pd3 0.500 0.500 0.500
Pd4 0.500 0.500 0.702
Pd5 0.500 0.500 0.908

---

Record 6
This record from the Alexandria database describes a relaxed Rb2CoSb2 crystal. The functional is PBE-GGA.

Calculated values
formation energy without anion corrections: 0.749 eV per atom

Cell: 11.332 11.332 3.065 Å, 90.00 90.00 90.00°
Positions (direct):
Sb1 0.165 0.665 0.500
Sb2 0.665 0.835 0.500
Sb3 0.835 0.335 0.500
Sb4 0.335 0.165 0.500
Co1 0.000 0.000 0.000
Co2 0.500 0.500 0.000
Rb1 0.367 0.867 0.000
Rb2 0.867 0.633 0.000
Rb3 0.633 0.133 0.000
Rb4 0.133 0.367 0.000

---

Record 7
This record from the Alexandria database describes a relaxed MnBi crystal. The functional is PBE-GGA.

Calculated values
energy of formation from the pure elements: 0.36 eV/atom

Cell: 10.019 10.019 4.061 Å, 90.00 90.00 90.00°
Positions (direct):
Mn1 0.177 0.910 0.000
Mn2 0.823 0.090 0.000
Mn3 0.090 0.177 0.000
Mn4 0.910 0.823 0.000
Mn5 0.677 0.410 0.500
Mn6 0.323 0.590 0.500
Mn7 0.590 0.677 0.500
Mn8 0.410 0.323 0.500
Bi1 0.580 0.233 0.000
Bi2 0.420 0.767 0.000
Bi3 0.767 0.580 0.000
Bi4 0.233 0.420 0.000
Bi5 0.080 0.733 0.500
Bi6 0.920 0.267 0.500
Bi7 0.267 0.080 0.500
Bi8 0.733 0.920 0.500

---

Record 8
This record from the Alexandria database describes a relaxed YMgAu6 crystal. The functional is PBE-GGA.

Calculated values
energy of formation from the pure elements: -0.52 eV/atom

Cell: 4.330 5.117 7.948 Å, 79.02 74.19 64.97°
Positions (direct):
Y1 0.000 0.500 0.500
Mg1 0.000 0.000 0.000
Au1 0.246 0.869 0.638
Au2 0.505 0.236 0.754
Au3 0.250 0.383 0.116
Au4 0.495 0.764 0.246
Au5 0.754 0.131 0.362
Au6 0.750 0.617 0.884

---

Record 9
This record from the Alexandria database describes a relaxed CdReBr crystal. The functional is PBE-GGA.

Calculated values
formation energy without anion corrections: 0.683 eV per atom
ΔE to the lowest computed polymorph: 0.0 meV per atom

Cell: 3.024 3.024 7.902 Å, 90.00 90.00 120.00°
Positions (direct):
Re1 0.333 0.667 0.686
Br1 0.000 0.000 0.929
Cd1 0.667 0.333 0.384

---

Record 10
This record from the Alexandria database describes a relaxed Sc3Al2Pd3 crystal. The functional is PBE-GGA.

Calculated values
energy of formation from the pure elements: -0.83 eV/atom

Cell: 5.368 7.837 7.837 Å, 120.00 90.00 90.00°
Positions (direct):
Sc1 0.750 0.252 0.000
Sc2 0.750 0.748 0.748
Sc3 0.750 0.000 0.252
Sc4 0.250 0.748 0.000
Sc5 0.250 0.252 0.252
Sc6 0.250 0.000 0.748
Al1 0.000 0.333 0.667
Al2 0.500 0.667 0.333
Al3 0.000 0.667 0.333
Al4 0.500 0.333 0.667
Pd1 0.750 0.596 0.000
Pd2 0.750 0.404 0.404
Pd3 0.750 0.000 0.596
Pd4 0.250 0.404 0.000
Pd5 0.250 0.596 0.596
Pd6 0.250 0.000 0.404

---

Record 11
This record from the Alexandria database describes a relaxed Ba2TlPb crystal. The functional is PBE-GGA.

Calculated values
energy of formation from the pure elements: -0.47 eV/atom

Cell: 5.675 4.634 6.015 Å, 89.97 90.00 90.00°
Positions (direct):
Pb1 0.000 0.625 0.432
Tl1 0.500 0.625 0.817
Ba1 0.000 0.125 0.905
Ba2 0.500 0.125 0.347

---

Record 12
This record from the Alexandria database describes a relaxed ReB3F crystal. The functional is PBE-GGA.

Calculated values
formation energy without anion corrections: 1.515 eV per atom
ΔE to the lowest computed polymorph: 425.8 meV per atom

Cell: 3.575 3.575 3.575 Å, 90.00 90.00 90.00°
Positions (direct):
Re1 0.500 0.500 0.500
B1 0.000 0.500 0.000
B2 0.000 0.000 0.500
B3 0.500 0.000 0.000
F1 0.000 0.000 0.000